A relaxed CePuThCd crystal, computed with PBE.

Unit cell a=7.584 b=7.584 c=7.584 alpha=90.00 beta=90.00 gamma=90.00
Space group F-43m (No. 216)
Unique sites:
Ce 0.000 0.000 0.000 x4
Pu 0.250 0.250 0.750 x4
Th 0.000 0.000 0.500 x4
Cd 0.250 0.250 0.250 x4

Results
Formation energy in eV per atom: 0.028
Calculated total energy in eV per atom: -7.122
N(E_F) in states/eV/atom: 2.43
Calculated volume in Å³/atom: 27.3